Record 1
# SmDy6Tm3Th2

A relaxed structure of SmDy6Tm3Th2 (PBE-GGA, Alexandria).

As for the formation energy: 0.033 eV/atom. The density of states at the Fermi level comes out at 17.393 states/eV per cell. The calculation puts the calculated total energy at -5.02 eV/atom.

a = 6.1452 Å, b = 6.1452 Å, c = 11.7259 Å
α = 95.03°, β = 95.03°, γ = 119.94°
Atoms (fractional coordinates):
1 Dy 0.0841 0.4214 0.2501
2 Dy 0.7465 0.7465 0.2502
3 Dy 0.2535 0.2535 0.7498
4 Dy 0.9159 0.5786 0.7499
5 Dy 0.4214 0.0841 0.2501
6 Dy 0.5786 0.9159 0.7499
7 Th 0.3333 0.6667 0.0000
8 Th 0.6667 0.3333 0.0000
9 Tm 0.1664 0.8336 0.5000
10 Tm 0.5000 0.5000 0.5000
11 Tm 0.8336 0.1664 0.5000
12 Sm 0.0000 0.0000 0.0000

Record 2
# SmDyTm2Th

A relaxed structure of SmDyTm2Th (PBE-GGA, Alexandria).

As for the formation energy: 0.358 eV/atom. The density of states at the Fermi level comes out at 18.843 states/eV per cell. The calculation puts the calculated total energy at -4.78 eV/atom.

a = 6.0126 Å, b = 8.2998 Å, c = 6.9294 Å
α = 97.87°, β = 90.00°, γ = 90.00°
Atoms (fractional coordinates):
1 Tm 0.5746 0.3331 0.5722
2 Tm 0.4254 0.3331 0.0722
3 Tm 0.5746 0.6669 0.9278
4 Tm 0.4254 0.6669 0.4278
5 Th 0.5231 0.0000 0.2500
6 Th 0.4769 0.0000 0.7500
7 Dy 0.9224 0.5000 0.2500
8 Dy 0.0776 0.5000 0.7500
9 Sm 0.0000 0.0000 0.5000
10 Sm 0.0000 0.0000 0.0000

Record 3
# Sm5DyTm2Th

A relaxed structure of Sm5DyTm2Th (PBE-GGA, Alexandria).

As for the formation energy: 0.160 eV/atom. The density of states at the Fermi level comes out at 28.170 states/eV per cell. The calculation puts the calculated total energy at -4.79 eV/atom.

a = 5.6158 Å, b = 10.5343 Å, c = 10.5402 Å
α = 90.00°, β = 90.00°, γ = 105.46°
Atoms (fractional coordinates):
1 Tm 0.8851 0.7702 0.8127
2 Tm 0.1119 0.2239 0.7381
3 Tm 0.1149 0.2298 0.3127
4 Tm 0.8881 0.7761 0.2381
5 Sm 0.7233 0.4466 0.8124
6 Sm 0.6128 0.2256 0.5260
7 Sm 0.7056 0.4112 0.2047
8 Sm 0.2767 0.5534 0.3124
9 Sm 0.3872 0.7744 0.0260
10 Sm 0.4799 0.9598 0.7431
11 Sm 0.9855 0.9710 0.5198
12 Sm 0.5201 0.0402 0.2431
13 Sm 0.2944 0.5888 0.7047
14 Sm 0.0145 0.0290 0.0198
15 Dy 0.5927 0.1854 0.9547
16 Dy 0.4073 0.8146 0.4547
17 Th 0.8011 0.6023 0.5125
18 Th 0.1989 0.3977 0.0125